Record 1
VASP calculation (GGA-PBE) on a relaxed structure of Tl2PtBr.

For the calculated total energy, the calculation gives -3.342 eV/atom. The energy relative to the elements, uncorrected comes out at -0.231 eV per atom. The volume comes out at 119.08 Å³ per cell.

The space group is Pmm2 (No. 25) and the conventional cell measures 3.852, 3.866 and 7.995 Å, with angles of 90.00, 90.00 and 90.00 degrees. The asymmetric unit holds Tl at (0.000, 0.000, 0.000), Tl at (0.500, 0.500, 0.405), Pt at (0.000, 0.000, 0.356) and Br at (0.500, 0.500, 0.793).



Record 2
VASP calculation (GGA-PBE) on a relaxed structure of La8Tl2Bi.

For the calculated total energy, the calculation gives -4.628 eV/atom. As for the energy of formation from the pure elements: -0.2613 eV per atom. The volume comes out at 760.89 Å³ per cell.

The space group is C2/m (No. 12) and the conventional cell measures 9.096, 15.352 and 5.867 Å, with angles of 90.00, 111.77 and 90.00 degrees. The asymmetric unit holds La at (0.000, 0.224, 0.000), La at (0.098, 0.500, 0.798), La at (0.189, 0.107, 0.597), Tl at (0.000, 0.309, 0.500) and Bi at (0.000, 0.000, 0.000).



Record 3
VASP calculation (GGA-PBE) on a relaxed structure of Cu2HgTe.

For the calculated total energy, the calculation gives -2.739 eV/atom. The energy relative to the elements, uncorrected comes out at 0.170 eV per atom. The volume comes out at 163.90 Å³ per cell.

The space group is C2/m (No. 12) and the conventional cell measures 6.868, 4.022 and 6.437 Å, with angles of 90.00, 112.82 and 90.00 degrees. The asymmetric unit holds Cu at (0.249, 0.000, 0.237), Hg at (0.000, 0.000, 0.500) and Te at (0.000, 0.500, 0.000).



Record 4
VASP calculation (GGA-PBE) on a relaxed structure of AcPmYTh.

For the calculated total energy, the calculation gives -5.643 eV/atom. As for the energy of formation from the pure elements: 0.0431 eV per atom. The volume comes out at 143.06 Å³ per cell.

The space group is P4mm (No. 99) and the conventional cell measures 3.702, 3.702 and 10.440 Å, with angles of 90.00, 90.00 and 90.00 degrees. The asymmetric unit holds Ac at (0.000, 0.000, 0.000), Pm at (0.500, 0.500, 0.275), Y at (0.500, 0.500, 0.732) and Th at (0.000, 0.000, 0.505).